{"formula": "RbTcPt", "functional": "PBE", "state": "optimized geometry", "lattice_angstrom": [[2.8465, 0.0000, 0.0000], [1.4175, 6.5523, 0.0000], [1.4212, -0.2799, 7.9468]], "species": ["Rb", "Rb", "Tc", "Tc", "Pt", "Pt"], "fractional_positions": [[0.0730, 0.1071, 0.2725], [0.9270, 0.8929, 0.7275], [0.3909, 0.6217, 0.0952], [0.6091, 0.3783, 0.9048], [0.2323, 0.4103, 0.6256], [0.7677, 0.5897, 0.3744]], "vol_a3_per_cell": 148.21, "relative_energy_mev_per_atom": 295, "spacegroup": "No. 2", "m_tot_mub_per_fu": 0.00}

=====

{"formula": "RbTcPt2", "functional": "PBE", "state": "optimized geometry", "lattice_angstrom": [[0.0000, 3.4314, 3.4314], [3.4314, 0.0000, 3.4314], [3.4314, 3.4314, 0.0000]], "species": ["Rb", "Tc", "Pt", "Pt"], "fractional_positions": [[0.0000, 0.0000, 0.0000], [0.5000, 0.5000, 0.5000], [0.2500, 0.2500, 0.2500], [0.7500, 0.7500, 0.7500]], "vol_a3_per_cell": 80.80, "relative_energy_mev_per_atom": 295, "spacegroup": "No. 225", "m_tot_mub_per_fu": 3.81}

=====

{"formula": "RbTcPt", "functional": "PBE", "state": "optimized geometry", "lattice_angstrom": [[2.9485, 0.0000, 0.0000], [0.0000, 4.2288, 0.0000], [-0.6258, 0.0000, 13.0423]], "species": ["Rb", "Rb", "Tc", "Tc", "Pt", "Pt"], "fractional_positions": [[0.2009, 0.2500, 0.1812], [0.7991, 0.7500, 0.8188], [0.2877, 0.7500, 0.5258], [0.7123, 0.2500, 0.4742], [0.2495, 0.2500, 0.6508], [0.7505, 0.7500, 0.3492]], "vol_a3_per_cell": 162.62, "relative_energy_mev_per_atom": 246, "spacegroup": "No. 11", "m_tot_mub_per_fu": 0.00}

=====

{"formula": "RbTcPt", "functional": "PBE", "state": "optimized geometry", "lattice_angstrom": [[5.4149, 0.0000, 0.0000], [0.0000, 4.1671, 0.0000], [-1.3353, 0.0000, 6.8948]], "species": ["Rb", "Rb", "Tc", "Tc", "Pt", "Pt"], "fractional_positions": [[0.2271, 0.2500, 0.4163], [0.7729, 0.7500, 0.5837], [0.4035, 0.7500, 0.0438], [0.5965, 0.2500, 0.9562], [0.1042, 0.2500, 0.9252], [0.8958, 0.7500, 0.0748]], "vol_a3_per_cell": 155.58, "relative_energy_mev_per_atom": 176, "spacegroup": "No. 11", "m_tot_mub_per_fu": 0.00}

=====

{"formula": "RbTcPt", "functional": "PBE", "state": "optimized geometry", "lattice_angstrom": [[0.0000, 3.4379, 3.4379], [3.4379, 0.0000, 3.4379], [3.4379, 3.4379, 0.0000]], "species": ["Rb", "Tc", "Pt"], "fractional_positions": [[0.0000, 0.0000, 0.0000], [0.5000, 0.5000, 0.5000], [0.7500, 0.7500, 0.7500]], "vol_a3_per_cell": 81.27, "relative_energy_mev_per_atom": 1266, "spacegroup": "No. 216", "m_tot_mub_per_fu": 3.99}

=====

{"formula": "RbTcPt", "functional": "PBE", "state": "optimized geometry", "lattice_angstrom": [[4.4617, 0.0000, 0.0000], [0.0000, 4.0083, 0.0000], [-0.8953, 0.0000, 10.1063]], "species": ["Rb", "Rb", "Tc", "Tc", "Pt", "Pt"], "fractional_positions": [[0.2142, 0.2500, 0.3225], [0.7858, 0.7500, 0.6775], [0.1596, 0.7500, 0.0134], [0.8404, 0.2500, 0.9866], [0.3313, 0.2500, 0.8637], [0.6687, 0.7500, 0.1363]], "vol_a3_per_cell": 180.74, "relative_energy_mev_per_atom": 155, "spacegroup": "No. 11", "m_tot_mub_per_fu": 0.00}